[1]
DFT (PBE-GGA) results for an optimized crystal structure of ScCoPdPb.

It has space group F-43m (No. 216), with a = 6.530 Å, b = 6.530 Å, c = 6.530 Å, α = 90.00°, β = 90.00° and γ = 90.00°. The asymmetric unit holds Sc at (0.000, 0.000, 0.000), Co at (0.250, 0.250, 0.750), Pd at (0.250, 0.250, 0.250) and Pb at (0.000, 0.000, 0.500).

For the offset from the most stable computed form, the calculation gives 0 kJ/mol of formula units.

=====

[2]
DFT (PBE-GGA) results for an optimized crystal structure of Li6Tm2O7.

It has space group P-1 (No. 2), with a = 5.402 Å, b = 5.505 Å, c = 6.094 Å, α = 68.39°, β = 82.62° and γ = 78.85°. The asymmetric unit holds Li at (0.039, 0.222, 0.416), Li at (0.345, 0.687, 0.292), Li at (0.401, 0.736, 0.830), Tm at (0.145, 0.252, 0.923), O at (0.035, 0.010, 0.746), O at (0.223, 0.473, 0.142), O at (0.316, 0.555, 0.625) and O at (0.500, 0.000, 0.000).

The energy is -5.88 eV/atom.

=====

[3]
DFT (PBE-GGA) results for an optimized crystal structure of Re2H.

It has space group Fd-3m (No. 227, origin choice 2), with a = 7.208 Å, b = 7.208 Å, c = 7.208 Å, α = 90.00°, β = 90.00° and γ = 90.00°. The asymmetric unit holds Re at (0.000, 0.000, 0.000) and H at (0.125, 0.125, 0.625).

For the offset from the most stable computed form, the calculation gives 0 kJ/mol of formula units.

=====

[4]
DFT (PBE-GGA) results for an optimized crystal structure of Nd3GdC2Br2.

It has space group P3m1 (No. 156), with a = 3.7882 Å, b = 3.7882 Å, c = 14.7622 Å, α = 90.00°, β = 90.00° and γ = 120.00°. The asymmetric unit holds Nd at (0.0000, 0.0000, 0.0000), Nd at (0.0000, 0.0000, 0.3197), Nd at (0.6667, 0.3333, 0.5057), Gd at (0.6667, 0.3333, 0.8197), C at (0.3333, 0.6667, 0.4130), C at (0.3333, 0.6667, 0.9041), Br at (0.0000, 0.0000, 0.6684) and Br at (0.6667, 0.3333, 0.1589).

The energy is -6.00 eV/atom.

=====

[5]
DFT (PBE-GGA) results for an optimized crystal structure of LuBeO3.

It has space group Pnma (No. 62), with a = 5.336 Å, b = 6.888 Å, c = 4.852 Å, α = 90.00°, β = 90.00° and γ = 90.00°. The asymmetric unit holds Lu at (0.080, 0.250, 0.026), Be at (0.000, 0.000, 0.500), O at (0.015, 0.750, 0.422) and O at (0.213, 0.541, 0.819).

The energy is -7.16 eV/atom.

=====

[6]
DFT (PBE-GGA) results for an optimized crystal structure of Hf2ZrCd.

It has space group P4mm (No. 99), with a = 3.147 Å, b = 3.147 Å, c = 8.929 Å, α = 90.00°, β = 90.00° and γ = 90.00°. The asymmetric unit holds Hf at (0.000, 0.000, 0.000), Hf at (0.500, 0.500, 0.241), Zr at (0.500, 0.500, 0.748) and Cd at (0.000, 0.000, 0.494).

For the formation energy, the calculation gives -0.08 eV/atom.